[1]
DFT (PBE) results for an optimized crystal structure of Nd2Dy4ErTm.

The structure belongs to space group C2/c (No. 15); the cell edges are 13.621, 13.247 and 6.801 Å and the angles 90.00°, 119.94° and 90.00°. The inequivalent atoms are Nd at (0.000, 0.000, 0.000), Nd at (0.250, 0.250, 0.000), Dy at (0.000, 0.255, 0.001), Dy at (0.246, 0.497, 0.494), Er at (0.250, 0.250, 0.500) and Tm at (0.000, 0.500, 0.000).

The energy of formation is 3.41 eV/f.u. The calculation puts the total energy at -134.28 eV per cell.

***

[2]
DFT (PBE) results for an optimized crystal structure of CaAcPtRh.

The structure belongs to space group F-43m (No. 216); the cell edges are 7.232, 7.232 and 7.232 Å and the angles 90.00°, 90.00° and 90.00°. The inequivalent atoms are Ca at (0.000, 0.000, 0.000), Ac at (0.000, 0.000, 0.500), Pt at (0.250, 0.250, 0.250) and Rh at (0.250, 0.250, 0.750).

The value obtained for the excess energy over the best structure of this formula in the dataset is 86.5 meV per atom. The energy of formation is -2.85 eV/f.u. The calculation puts the total energy at -89.42 eV per cell.

***

[3]
DFT (PBE) results for an optimized crystal structure of YTaFe2.

The structure belongs to space group P4/mmm (No. 123); the cell edges are 3.122, 3.122 and 6.650 Å and the angles 90.00°, 90.00° and 90.00°. The inequivalent atoms are Y at (0.000, 0.000, 0.000), Ta at (0.000, 0.000, 0.500) and Fe at (0.500, 0.500, 0.289).

The energy of formation is -0.03 eV/f.u. The calculation puts the total energy at -35.27 eV per cell.

***

[4]
DFT (PBE) results for an optimized crystal structure of Pr2AlZnNi6.

The structure belongs to space group P-1 (No. 2); the cell edges are 6.039, 6.131 and 6.134 Å and the angles 60.88°, 63.90° and 62.55°. The inequivalent atoms are Pr at (0.118, 0.290, 0.294), Al at (0.500, 0.500, 0.500), Zn at (0.000, 0.000, 0.000), Ni at (0.376, 0.826, 0.668), Ni at (0.401, 0.114, 0.815) and Ni at (0.402, 0.662, 0.108).

The energy of formation is -2.46 eV/f.u. The calculation puts the total energy at -51.72 eV per cell.

***

[5]
DFT (PBE) results for an optimized crystal structure of FeRh6W.

The structure belongs to space group P4/mmm (No. 123); the cell edges are 5.436, 5.436 and 3.834 Å and the angles 90.00°, 90.00° and 90.00°. The inequivalent atoms are Fe at (0.000, 0.000, 0.000), Rh at (0.000, 0.500, 0.000), Rh at (0.251, 0.251, 0.500) and W at (0.500, 0.500, 0.000).

The energy of formation is -1.39 eV/f.u. The calculation puts the total energy at -66.92 eV per cell.

***

[6]
DFT (PBE) results for an optimized crystal structure of Si4PAu.

The structure belongs to space group F-43m (No. 216); the cell edges are 7.294, 7.294 and 7.294 Å and the angles 90.00°, 90.00° and 90.00°. The inequivalent atoms are Si at (0.125, 0.125, 0.125), P at (0.000, 0.000, 0.500) and Au at (0.250, 0.250, 0.750).

The value obtained for the formation energy from raw total energies is 694 meV per atom. The calculation puts the total energy at -104.85 eV per cell.

***

[7]
DFT (PBE) results for an optimized crystal structure of ZrCrCu3.

The structure belongs to space group Pm-3m (No. 221); the cell edges are 4.443, 4.443 and 4.443 Å and the angles 90.00°, 90.00° and 90.00°. The inequivalent atoms are Zr at (0.000, 0.000, 0.000), Cr at (0.500, 0.500, 0.500) and Cu at (0.000, 0.500, 0.500).

The value obtained for the excess energy over the best structure of this formula in the dataset is 0.0 meV per atom. The energy of formation is 4.19 eV/f.u. The calculation puts the total energy at -26.27 eV per cell.

***

[8]
DFT (PBE) results for an optimized crystal structure of CoAsSe2N.

The structure belongs to space group P4/mmm (No. 123); the cell edges are 4.933, 4.933 and 3.403 Å and the angles 90.00°, 90.00° and 90.00°. The inequivalent atoms are Co at (0.000, 0.000, 0.000), As at (0.500, 0.500, 0.500), Se at (0.000, 0.500, 0.000) and N at (0.000, 0.000, 0.500).

The value obtained for the formation energy from raw total energies is 423 meV per atom. The value obtained for the excess energy over the best structure of this formula in the dataset is 0.0 meV per atom. The calculation puts the total energy at -24.94 eV per cell.

***

[9]
DFT (PBE) results for an optimized crystal structure of CrSiOs.

The structure belongs to space group Fmm2 (No. 42); the cell edges are 2.899, 4.581 and 11.945 Å and the angles 90.00°, 90.00° and 90.00°. The inequivalent atoms are Cr at (0.000, 0.000, 0.000), Si at (0.000, 0.000, 0.657) and Os at (0.000, 0.000, 0.322).

The value obtained for the formation energy from raw total energies is 197 meV per atom. The calculation puts the total energy at -102.74 eV per cell.

***

[10]
DFT (PBE) results for an optimized crystal structure of U2Cu3NiGe4.

The structure belongs to space group P-4m2 (No. 115); the cell edges are 4.040, 4.040 and 10.272 Å and the angles 90.00°, 90.00° and 90.00°. The inequivalent atoms are U at (0.000, 0.500, 0.246), Cu at (0.000, 0.000, 0.000), Cu at (0.000, 0.000, 0.500), Cu at (0.500, 0.500, 0.500), Ni at (0.500, 0.500, 0.000), Ge at (0.000, 0.500, 0.634) and Ge at (0.000, 0.500, 0.875).

The energy of formation is -2.33 eV/f.u. The calculation puts the total energy at -61.45 eV per cell.

***

[11]
DFT (PBE) results for an optimized crystal structure of LaTbNdAg.

The structure belongs to space group P4mm (No. 99); the cell edges are 3.719, 3.719 and 8.750 Å and the angles 90.00°, 90.00° and 90.00°. The inequivalent atoms are La at (0.000, 0.000, 0.000), Tb at (0.500, 0.500, 0.288), Nd at (0.500, 0.500, 0.704) and Ag at (0.000, 0.000, 0.482).

The value obtained for the excess energy over the best structure of this formula in the dataset is 0.0 meV per atom. The energy of formation is -0.47 eV/f.u. The calculation puts the total energy at -17.65 eV per cell.

***

[12]
DFT (PBE) results for an optimized crystal structure of KInW2.

The structure belongs to space group R-3m (No. 166, hexagonal axes); the cell edges are 2.9320, 2.9320 and 33.3405 Å and the angles 90.00°, 90.00° and 120.00°. The inequivalent atoms are K at (0.0000, 0.0000, 0.0000), In at (0.0000, 0.0000, 0.5000) and W at (0.0000, 0.0000, 0.2395).

The energy of formation is 4.66 eV/f.u. The calculation puts the total energy at -75.24 eV per cell.

***

no.,density (g cm⁻³)
1,7.96
2,9.92
3,9.77
4,7.13
5,12.56
6,5.82
7,6.32
8,6.13
9,11.32
10,10.06
11,7.54
12,10.47